NpUV: optimized geometry, PBE-GGA.

Lattice parameters (Å, degrees): 3.384 3.384 9.210 90.00 90.00 90.00
Space group I4mm (No. 107)
One atom of each set of equivalent atoms:
Np 0.000 0.000 0.000 x2
U 0.000 0.000 0.362 x2
V 0.000 0.000 0.677 x2

Properties
density of states at the Fermi level	14.1	states/eV per cell
E above lowest polymorph	0.000	eV/atom
raw total energy	-65.4	eV for the cell shown